Record 1
Computed, not measured: AlZnPd3 at its PBEsol-relaxed geometry at the SCAN level of DFT.

The structure in POSCAR format:
```
AlZnPd3
1.0
4.4882 0.0000 0.0000
0.0000 4.4882 0.0000
0.0000 0.0000 4.4882
Al Zn Pd
1 1 3
direct
0.0000 0.0000 0.0000
0.5000 0.5000 0.5000
0.0000 0.5000 0.5000
0.5000 0.0000 0.5000
0.5000 0.5000 0.0000
```

Values from the calculation:
* ΔH_f (0 K): 0.31 eV/atom
* magnetic moment: 0.0 μB per formula unit
* E: -23.61 eV/atom

---

Record 2
Computed, not measured: Zr3AlPd at its PBEsol-relaxed geometry at the SCAN level of DFT.

The structure in POSCAR format:
```
Zr3AlPd
1.0
4.9636 0.0000 0.0000
0.0000 4.9636 0.0000
0.0000 0.0000 4.9636
Zr Al Pd
3 1 1
direct
0.0000 0.0000 0.5000
0.0000 0.5000 0.0000
0.5000 0.0000 0.0000
0.5000 0.5000 0.5000
0.0000 0.0000 0.0000
```

Values from the calculation:
* ΔH_f (0 K): 0.27 eV/atom
* magnetic moment: 0.0 μB per formula unit
* E: -26.26 eV/atom

---

Record 3
Computed, not measured: Zr2Al2Pd at its PBEsol-relaxed geometry at the SCAN level of DFT.

The structure in POSCAR format:
```
Zr2Al2Pd
1.0
6.4571 0.0000 0.0000
0.0000 6.4571 0.0000
0.0000 0.0000 4.3235
Zr Al Pd
4 4 2
direct
0.1682 0.3318 0.0000
0.3318 0.8318 0.0000
0.6682 0.1682 0.0000
0.8318 0.6682 0.0000
0.1404 0.6404 0.5000
0.3596 0.1404 0.5000
0.6404 0.8596 0.5000
0.8596 0.3596 0.5000
0.0000 0.0000 0.5000
0.5000 0.5000 0.5000
```

Values from the calculation:
* ΔH_f (0 K): -0.74 eV/atom
* magnetic moment: 0.0 μB per formula unit
* E: -22.67 eV/atom